Crystalline SmYTmIn at its relaxed geometry, computed with GGA-PBE.

Values from the calculation:
Crystal system: orthorhombic
DFT formation energy (eV/f.u.): -1.06
Magnetization (μB per cell): 0.469
ΔE to the lowest computed polymorph (meV per atom): 0

Cell: 4.859 4.839 4.891 Å, 90.00 90.00 90.00°
Fractional coordinates of all 4 atoms:
Sm 0.000 0.500 0.500
Y 0.000 0.000 0.000
Tm 0.500 0.000 0.500
In 0.500 0.500 0.000

Crystalline Ba2CdInTe5 at its relaxed geometry, computed with GGA-PBE.

Values from the calculation:
Crystal system: orthorhombic
Raw total energy (Ry per atom): -0.25590
Magnetization (μB per cell): 0.000

Cell: 4.575 11.058 13.559 Å, 90.00 90.00 101.94°
Fractional coordinates of all 18 atoms:
Ba 0.879 0.759 0.799
Ba 0.115 0.230 0.679
Ba 0.121 0.241 0.299
Ba 0.885 0.770 0.179
Cd 0.762 0.523 0.525
Cd 0.238 0.477 0.025
In 0.570 0.139 0.946
In 0.430 0.861 0.446
Te 0.367 0.735 0.991
Te 0.698 0.396 0.885
Te 0.505 0.010 0.767
Te 0.280 0.559 0.669
Te 0.957 0.915 0.562
Te 0.633 0.265 0.491
Te 0.302 0.604 0.385
Te 0.495 0.990 0.267
Te 0.720 0.441 0.169
Te 0.043 0.085 0.062

Crystalline LiP2S6 at its relaxed geometry, computed with GGA-PBE.

Values from the calculation:
Crystal system: monoclinic
Raw total energy (Ry per atom): -0.32520
Magnetization (μB per cell): 1.789

Cell: 5.795 9.049 9.049 Å, 95.56 73.10 73.10°
Fractional coordinates of all 18 atoms:
Li 0.250 0.218 0.782
Li 0.750 0.782 0.218
P 0.210 0.653 0.805
P 0.290 0.195 0.347
P 0.790 0.347 0.195
P 0.710 0.805 0.653
S 0.425 0.721 0.603
S 0.075 0.397 0.279
S 0.575 0.279 0.397
S 0.925 0.603 0.721
S 0.893 0.841 0.446
S 0.607 0.554 0.159
S 0.107 0.159 0.554
S 0.393 0.446 0.841
S 0.099 0.823 0.996
S 0.401 0.004 0.177
S 0.901 0.177 0.004
S 0.599 0.996 0.823

Crystalline Ac2Pm4Tl3O2 at its relaxed geometry, computed with GGA-PBE.

Values from the calculation:
Crystal system: tetragonal
Raw total energy (Ry per atom): -0.38551
Magnetization (μB per cell): 0.000

Cell: 4.926 4.926 13.564 Å, 100.46 100.46 90.00°
Fractional coordinates of all 11 atoms:
Ac 0.304 0.304 0.609
Ac 0.696 0.696 0.391
Pm 0.418 0.918 0.837
Pm 0.918 0.418 0.837
Pm 0.082 0.582 0.163
Pm 0.582 0.082 0.163
Tl 0.000 0.000 0.000
Tl 0.170 0.170 0.339
Tl 0.830 0.830 0.661
O 0.402 0.402 0.805
O 0.598 0.598 0.195

Crystalline CeTm6Sc2 at its relaxed geometry, computed with GGA-PBE.

Values from the calculation:
Crystal system: triclinic
DFT formation energy (eV/f.u.): 1.34
Magnetization (μB per cell): 2.061
ΔE to the lowest computed polymorph (meV per atom): 15

Cell: 5.567 13.739 14.362 Å, 94.64 128.20 124.76°
Fractional coordinates of all 18 atoms:
Ce 0.433 0.070 0.069
Ce 0.567 0.930 0.931
Tm 0.329 0.563 0.677
Tm 0.109 0.322 0.440
Tm 0.671 0.437 0.323
Tm 0.891 0.678 0.560
Tm 0.852 0.838 0.389
Tm 0.629 0.593 0.151
Tm 0.148 0.162 0.611
Tm 0.371 0.407 0.849
Tm 0.230 0.786 0.066
Tm 0.202 0.932 0.231
Tm 0.770 0.214 0.934
Tm 0.798 0.068 0.769
Sc 0.099 0.577 0.840
Sc 0.373 0.165 0.435
Sc 0.901 0.423 0.160
Sc 0.627 0.835 0.565

Crystalline SiAsPRh2C at its relaxed geometry, computed with GGA-PBE.

Values from the calculation:
Crystal system: triclinic
Magnetization (μB per cell): 0.000
ΔE to the lowest computed polymorph (meV per atom): 189

Cell: 3.108 4.942 6.454 Å, 79.30 76.15 71.63°
Fractional coordinates of all 6 atoms:
C 0.281 0.459 0.704
P 0.733 0.031 0.228
As 0.509 0.529 0.182
Rh 0.017 0.771 0.919
Rh 0.206 0.837 0.479
Si 0.896 0.240 0.696

Crystalline BeHgGeN2 at its relaxed geometry, computed with GGA-PBE.

Values from the calculation:
Crystal system: tetragonal
Raw total energy (Ry per atom): -0.27157
Magnetization (μB per cell): 0.000

Cell: 3.642 6.336 3.642 Å, 90.00 90.00 90.00°
Fractional coordinates of all 5 atoms:
Be 0.500 0.500 0.500
Ge 0.000 0.000 0.000
Hg 0.000 0.500 0.000
N 0.000 0.000 0.500
N 0.500 0.000 0.000

Crystalline GePN at its relaxed geometry, computed with GGA-PBE.

Values from the calculation:
Crystal system: monoclinic
Magnetization (μB per cell): 0.000
ΔE to the lowest computed polymorph (meV per atom): 223

Cell: 4.439 3.272 6.973 Å, 90.00 113.45 90.00°
Fractional coordinates of all 6 atoms:
Ge 0.234 0.000 0.076
Ge 0.234 0.500 0.576
P 0.933 0.000 0.701
P 0.933 0.500 0.201
N 0.533 0.000 0.641
N 0.533 0.500 0.141